Y3Ru2: relaxed, PBE-GGA.

The structure in POSCAR format:
```
Y3Ru2
1.0
4.599 -7.048 -2.790
1.643 -7.230 2.383
-1.897 -3.185 -4.668
Y Ru
6 4
Cartesian
3.598 -9.678 -2.096 Y
1.716 -7.112 -3.081 Y
2.802 -11.478 -4.350 Y
4.685 -14.044 -3.364 Y
0.231 -10.078 -2.336 Y
1.571 -4.029 -1.319 Y
1.613 -9.075 0.224 Ru
1.278 -9.397 -5.149 Ru
0.192 -5.031 -3.880 Ru
5.126 -11.757 -1.297 Ru
```

Energy of formation   -1.1 kcal/mol of atoms
Energy above the most stable polymorph in this dataset   0.212 eV per atom
Symmetry   No. 70

***

Ce8Ge3Te4Cl: relaxed, PBE-GGA.

The structure in POSCAR format:
```
Ce8Ge3Te4Cl
1.0
-4.967 0.069 -7.083
5.646 -5.407 -4.013
-3.380 -2.273 7.632
Ce Ge Te Cl
8 3 4 1
Cartesian
-0.429 -6.151 2.849 Ce
1.241 -5.029 -0.919 Ce
-1.480 -2.630 1.012 Ce
-2.881 -6.117 -0.648 Ce
0.181 -1.494 -2.816 Ce
-1.221 -4.981 -4.476 Ce
-3.942 -2.582 -2.545 Ce
-2.272 -1.459 -6.313 Ce
0.339 -2.669 -5.548 Ge
-1.350 -3.805 -1.732 Ge
1.133 -3.840 1.809 Ge
-2.484 0.035 -3.541 Te
-4.173 -1.102 0.274 Te
0.000 0.000 0.000 Te
-1.690 -1.136 3.816 Te
2.823 -2.704 -2.006 Cl
```

Raw formation energy   -1.177 eV per atom
Symmetry   No. 166